Record 1
The following is a GGA-PBEsol calculation of a geometry-optimized Li4ReBr structure, from the Alexandria database.

Unit cell a=7.160 b=7.160 c=7.160 alpha=90.00 beta=90.00 gamma=90.00
Space group F-43m (No. 216)
Inequivalent atoms, fractional coordinates:
Li 0.123 0.123 0.377 x16
Re 0.250 0.250 0.750 x4
Br 0.000 0.000 0.000 x4

Values from the calculation:
ΔE_f (raw) = 0.650 eV per atom

Record 2
The following is a GGA-PBEsol calculation of a geometry-optimized ZnInFeO2 structure, from the Alexandria database.

Unit cell a=3.699 b=3.699 c=4.940 alpha=90.00 beta=90.00 gamma=90.00
Space group P4/mmm (No. 123)
Inequivalent atoms, fractional coordinates:
Zn 0.000 0.000 0.000 x1
In 0.500 0.500 0.000 x1
Fe 0.000 0.000 0.500 x1
O 0.000 0.500 0.500 x2

Values from the calculation:
ΔE_f (raw) = -0.442 eV per atom

Record 3
The following is a GGA-PBEsol calculation of a geometry-optimized YTe structure, from the Alexandria database.

Unit cell a=6.077 b=6.077 c=6.077 alpha=90.00 beta=90.00 gamma=90.00
Space group Fm-3m (No. 225)
Inequivalent atoms, fractional coordinates:
Y 0.000 0.000 0.000 x4
Te 0.000 0.000 0.500 x4

Values from the calculation:
ΔE_f (raw) = -1.371 eV per atom

Record 4
The following is a GGA-PBEsol calculation of a geometry-optimized InCoSb2 structure, from the Alexandria database.

Unit cell a=4.937 b=9.570 c=3.937 alpha=90.00 beta=90.00 gamma=90.00
Space group Cmmm (No. 65)
Inequivalent atoms, fractional coordinates:
In 0.000 0.000 0.000 x2
Co 0.000 0.500 0.000 x2
Sb 0.000 0.338 0.500 x4

Values from the calculation:
ΔE_f (raw) = -0.033 eV per atom

Record 5
The following is a GGA-PBEsol calculation of a geometry-optimized Si3Os2 structure, from the Alexandria database.

Unit cell a=5.604 b=5.604 c=8.863 alpha=90.00 beta=90.00 gamma=90.00
Space group P-4c2 (No. 116)
Inequivalent atoms, fractional coordinates:
Si 0.144 0.294 0.410 x8
Si 0.332 0.332 0.750 x4
Os 0.000 0.000 0.250 x2
Os 0.000 0.500 0.129 x4
Os 0.500 0.500 0.000 x2

Values from the calculation:
ΔE_f (raw) = -0.485 eV per atom

Record 6
The following is a GGA-PBEsol calculation of a geometry-optimized Ta6Ni16Ge7 structure, from the Alexandria database.

Unit cell a=11.292 b=11.292 c=11.292 alpha=90.00 beta=90.00 gamma=90.00
Space group Fm-3m (No. 225)
Inequivalent atoms, fractional coordinates:
Ta 0.000 0.000 0.201 x24
Ni 0.117 0.117 0.383 x32
Ni 0.166 0.166 0.166 x32
Ge 0.000 0.000 0.500 x4
Ge 0.000 0.250 0.250 x24

Values from the calculation:
calculated formation energy = -0.43 eV/atom